Compound: BeIrRh2
Source: Alexandria
Functional: PBE-GGA
Structure: relaxed

Cell and atoms, written as POSCAR:
```
BeIrRh2
1.0
4.951 0.018 0.002
4.149 2.701 0.002
1.847 0.552 3.821
Be Ir Rh
1 1 2
Direct
0.250 0.250 0.250
0.750 0.750 0.750
0.968 0.968 0.032
0.532 0.532 0.468
```

Calculated values
Crystal system: orthorhombic
Formation enthalpy at 0 K, kJ/mol of formula units: -66
Space-group type: Immm (71)
N(E_F), states/eV per cell: 3.93